! BaSr2TlN, relaxed, DFT PBE-GGA; values from VASP
! Total DFT energy (no corrections)   -17.99 eV for the cell shown
! Raw formation energy   -2.0 eV/f.u.
! N(E_F)   5.7 states/eV per cell
! M_tot   0.226 μB/atom
&SYSTEM
  ibrav = 0, nat = 5, ntyp = 4
/
ATOMIC_SPECIES
Ba 137.33 Ba.upf
Tl 204.38 Tl.upf
Sr 87.62 Sr.upf
N 14.01 N.upf
ATOMIC_POSITIONS angstrom
Ba 0.0000 0.0000 2.8648
Tl 2.6489 2.6489 2.8648
Sr 0.0000 2.6489 0.0000
N 0.0000 0.0000 0.0000
Sr 2.6489 0.0000 0.0000
CELL_PARAMETERS angstrom
5.2979 0.0000 0.0000
0.0000 5.2979 0.0000
0.0000 0.0000 5.7296

! Ba2SrUN4, relaxed, DFT PBE-GGA; values from VASP
! Total DFT energy (no corrections)   -57.16 eV for the cell shown
! Raw formation energy   -7.0 eV/f.u.
! N(E_F)   1.5 states/eV per cell
! M_tot   0.000 μB/atom
&SYSTEM
  ibrav = 0, nat = 8, ntyp = 4
/
ATOMIC_SPECIES
N 14.01 N.upf
Sr 87.62 Sr.upf
U 238.03 U.upf
Ba 137.33 Ba.upf
ATOMIC_POSITIONS angstrom
N -0.9787 -1.5401 -4.5549
N -1.3547 1.4213 -1.4319
Sr -0.0097 0.7965 -3.6564
U 0.0000 0.0000 0.0000
Ba -3.0874 -0.8609 -1.9966
N -5.0693 0.4244 -3.7138
N -5.1960 -0.1817 0.5617
Ba -3.3270 1.9099 0.5073
CELL_PARAMETERS angstrom
-0.2493 3.5674 -1.1526
0.2299 -1.9743 -6.1603
-6.4046 0.2525 2.1671

! Ba2SrU3N8, relaxed, DFT PBE-GGA; values from VASP
! Total DFT energy (no corrections)   -122.29 eV for the cell shown
! Raw formation energy   -16.3 eV/f.u.
! M_tot   0.000 μB/atom
&SYSTEM
  ibrav = 0, nat = 14, ntyp = 4
/
ATOMIC_SPECIES
Sr 87.62 Sr.upf
N 14.01 N.upf
U 238.03 U.upf
Ba 137.33 Ba.upf
ATOMIC_POSITIONS angstrom
Sr 10.6017 6.1209 1.8252
N 7.0678 2.3557 1.0891
U 8.8324 3.0618 0.0368
N 7.0678 5.8251 5.3440
Ba 7.0678 4.0806 3.2026
N 5.5740 4.9430 1.0891
N 10.6017 6.1209 5.2892
U 5.3032 3.0618 0.0368
U 7.0678 6.1182 0.0368
N 8.5786 3.2083 5.3440
N 5.5570 3.2083 5.3440
N 8.5616 4.9430 1.0891
N 3.5339 2.0403 1.1154
Ba 3.5339 2.0403 4.0767
CELL_PARAMETERS angstrom
7.0678 0.0000 0.0000
3.5339 6.1209 0.0000
3.5339 2.0403 6.3236

! Ba3Sr2UN6, relaxed, DFT PBE-GGA; values from VASP
! Total DFT energy (no corrections)   -78.47 eV for the cell shown
! Raw formation energy   -8.1 eV/f.u.
! N(E_F)   11.3 states/eV per cell
! M_tot   0.131 μB/atom
&SYSTEM
  ibrav = 0, nat = 12, ntyp = 4
/
ATOMIC_SPECIES
N 14.01 N.upf
Ba 137.33 Ba.upf
Sr 87.62 Sr.upf
U 238.03 U.upf
ATOMIC_POSITIONS angstrom
N 1.3768 -1.2914 1.0368
N 2.3608 -3.7483 -2.0997
N -1.4637 -3.8481 2.7369
N 1.8765 -5.8697 1.4724
N -0.9794 -1.7267 -0.8353
Ba 3.3883 -3.2551 2.6544
N -0.4797 -6.3050 -0.3996
Sr 0.4704 -2.1057 -3.1185
U 0.0000 0.0000 0.0000
Ba -2.4912 -4.3413 -2.0172
Sr 3.3483 -1.5741 -0.8319
Ba 0.4486 -3.7982 0.3186
CELL_PARAMETERS angstrom
-2.4737 -2.6496 -5.4577
6.2923 -1.0302 1.5073
-2.9215 -3.9166 4.5876

! BaSr2UN4, relaxed, DFT PBE-GGA; values from VASP
! Total DFT energy (no corrections)   -114.41 eV for the cell shown
! Raw formation energy   -7.3 eV/f.u.
! M_tot   0.000 μB/atom
&SYSTEM
  ibrav = 0, nat = 16, ntyp = 4
/
ATOMIC_SPECIES
N 14.01 N.upf
Sr 87.62 Sr.upf
Ba 137.33 Ba.upf
U 238.03 U.upf
ATOMIC_POSITIONS angstrom
N 0.1627 0.1248 2.4603
N 1.7485 1.7116 0.1532
Sr 3.7893 -0.1049 0.0063
Sr 3.6817 3.6843 0.0127
Ba -0.1076 3.7892 0.0064
N 0.4735 3.3414 2.6620
N 3.2727 0.4074 2.5650
Sr -1.8086 -1.8098 2.6008
N 1.2529 6.1798 0.0612
N 3.5835 3.6241 2.7667
Sr 1.9807 -1.9148 2.6071
N 1.9977 2.0372 5.0737
N 2.4935 -2.4310 5.1658
U 3.9614 -3.8296 5.2143
Ba 5.6624 1.7695 2.6198
U 1.8731 1.8744 2.6135
CELL_PARAMETERS angstrom
7.5786 -0.2099 0.0127
-0.2152 7.5785 0.0127
-3.6172 -3.6197 5.2016

! BaSr2VN, relaxed, DFT PBE-GGA; values from VASP
! Total DFT energy (no corrections)   -22.18 eV for the cell shown
! Raw formation energy   0.6 eV/f.u.
! N(E_F)   6.0 states/eV per cell
! M_tot   0.391 μB/atom
&SYSTEM
  ibrav = 0, nat = 5, ntyp = 4
/
ATOMIC_SPECIES
Ba 137.33 Ba.upf
Sr 87.62 Sr.upf
V 50.94 V.upf
N 14.01 N.upf
ATOMIC_POSITIONS angstrom
Ba -4.4732 -1.4014 0.2467
Sr -1.6036 -1.6681 -1.9192
V -0.3995 -1.2938 1.4582
N 0.0000 0.0000 0.0000
Sr -2.4702 1.5604 0.7078
CELL_PARAMETERS angstrom
-3.2072 -3.3361 -3.8385
-0.7989 -2.5875 2.9164
-4.9403 3.1208 1.4155

! Ba2SrVN4, relaxed, DFT PBE-GGA; values from VASP
! Total DFT energy (no corrections)   -107.08 eV for the cell shown
! Raw formation energy   -5.6 eV/f.u.
! N(E_F)   9.3 states/eV per cell
! M_tot   0.121 μB/atom
&SYSTEM
  ibrav = 0, nat = 16, ntyp = 4
/
ATOMIC_SPECIES
Ba 137.33 Ba.upf
Sr 87.62 Sr.upf
N 14.01 N.upf
V 50.94 V.upf
ATOMIC_POSITIONS angstrom
Ba 2.7861 2.3777 2.0555
Sr 2.8175 6.3492 0.0000
N 2.5293 5.1361 5.5369
N 5.4923 2.1150 6.3187
N 4.8026 5.9601 3.9519
N 2.4480 0.4894 3.9519
Sr 5.7805 0.9020 3.9519
Ba 5.7492 4.8734 1.8964
Ba 5.7492 4.8734 6.0074
N 5.4923 2.1150 1.5850
N 1.8396 1.2910 0.0000
V 3.0051 5.9755 3.9519
N 2.5293 5.1361 2.3669
V 0.0421 1.2757 0.0000
N 5.4110 6.7617 0.0000
Ba 2.7861 2.3777 5.8483
CELL_PARAMETERS angstrom
5.9261 0.0000 0.0000
0.0000 7.2511 0.0000
0.0000 0.0000 7.9038

! BaSr2WN4, relaxed, DFT PBE-GGA; values from VASP
! Total DFT energy (no corrections)   -117.91 eV for the cell shown
! Raw formation energy   -7.4 eV/f.u.
! N(E_F)   0.0 states/eV per cell
! M_tot   0.000 μB/atom
&SYSTEM
  ibrav = 0, nat = 16, ntyp = 4
/
ATOMIC_SPECIES
W 183.84 W.upf
Sr 87.62 Sr.upf
N 14.01 N.upf
Ba 137.33 Ba.upf
ATOMIC_POSITIONS angstrom
W 0.0180 1.2787 0.0000
Sr 5.9089 4.5863 1.9848
N 5.4040 2.1246 1.5893
N 5.6856 6.2176 0.0000
Ba 5.8576 0.9737 4.0697
Ba 2.8508 5.8411 0.0000
N 4.9005 5.3816 4.0697
N 2.3973 4.6902 5.6590
W 3.0248 5.5362 4.0697
N 2.3973 4.6902 2.4804
Sr 2.9021 2.2285 6.0545
Sr 5.9089 4.5863 6.1545
N 2.6789 0.5972 4.0697
N 5.4040 2.1246 6.5501
N 1.8937 1.4332 0.0000
Sr 2.9021 2.2285 2.0848
CELL_PARAMETERS angstrom
6.0135 0.0000 0.0000
0.0000 6.8148 0.0000
0.0000 0.0000 8.1394